Below is a geometry-optimized NdZn2Cd10 structure, with properties calculated at the PBE level.

a = 9.8243 Å, b = 7.5397 Å, c = 7.5336 Å
α = 81.35°, β = 49.35°, γ = 49.30°
Positions (direct):
Nd (0.0000, 0.0000, 0.0000)
Zn (0.0000, 0.0000, 0.5000)
Zn (0.5000, 0.5000, 0.0000)
Cd (0.0000, 0.5000, 0.0000)
Cd (0.0079, 0.6517, 0.3483)
Cd (0.2842, 0.5065, 0.4935)
Cd (0.3483, 0.9921, 0.0079)
Cd (0.4935, 0.7158, 0.2842)
Cd (0.5000, 0.0000, 0.5000)
Cd (0.5065, 0.2842, 0.7158)
Cd (0.6517, 0.0079, 0.9921)
Cd (0.7158, 0.4935, 0.5065)
Cd (0.9921, 0.3483, 0.6517)

Results
formation energy from the elements: -149 kJ/mol of formula units